Entry from Alexandria: a geometry-optimized NaGe2As2 structure (PBEsol).

## Properties
Total moment ... 0.00 μB/f.u.
DOS(E_F) ... 1.63 states/eV/f.u.
E_tot ... -21.35 eV/cell
Formation energy from the elements ... 0.1 eV per formula unit

Unit cell a=4.585 b=4.585 c=6.619 alpha=110.26 beta=110.26 gamma=90.00
Positions (direct):
As1 0.640 0.640 0.280
As2 0.360 0.360 0.720
Ge1 0.750 0.250 0.500
Ge2 0.250 0.750 0.500
Na1 0.000 0.000 0.000

Entry from Alexandria: a geometry-optimized NaGeAs2Se structure (PBEsol).

## Properties
Total moment ... 0.02 μB/f.u.
DOS(E_F) ... 4.90 states/eV/f.u.
Formation energy (no corrections) ... 0.309 eV/atom
E_tot ... -18.86 eV/cell

Unit cell a=4.938 b=4.938 c=5.135 alpha=90.00 beta=90.00 gamma=90.00
Positions (direct):
Se1 0.000 0.000 0.500
Na1 0.500 0.500 0.500
Ge1 0.000 0.000 0.000
As1 0.000 0.500 0.000
As2 0.500 0.000 0.000

Entry from Alexandria: a geometry-optimized NaGeAs2Se structure (PBEsol).

## Properties
Total moment ... 0.00 μB/f.u.
DOS(E_F) ... 5.19 states/eV/f.u.
Formation energy (no corrections) ... 1.028 eV/atom
E_tot ... -15.26 eV/cell

Unit cell a=4.894 b=4.894 c=5.005 alpha=90.00 beta=90.00 gamma=90.00
Positions (direct):
As1 0.500 0.000 0.000
As2 0.000 0.500 0.000
Na1 0.000 0.000 0.000
Se1 0.000 0.000 0.500
Ge1 0.500 0.500 0.500

Entry from Alexandria: a geometry-optimized Na2SnGeAs structure (PBEsol).

## Properties
Total moment ... 0.00 μB/f.u.
DOS(E_F) ... 5.11 states/eV/f.u.
E_tot ... -15.36 eV/cell
Formation energy from the elements ... 1.7 eV per formula unit

Unit cell a=5.223 b=5.223 c=5.323 alpha=90.00 beta=90.00 gamma=90.00
Positions (direct):
Ge1 0.500 0.500 0.500
As1 0.000 0.000 0.000
Sn1 0.000 0.000 0.500
Na1 0.500 0.000 0.000
Na2 0.000 0.500 0.000